## KZnRu2 (PBE)

Data for a relaxed KZnRu2 crystal.

Calculated values
final energy = -4.221 eV per atom
magnetic moment = 1.37 Bohr magnetons per cell
ΔE_f = 1.01 eV per atom

a = 2.734 Å, b = 4.965 Å, c = 5.161 Å
α = 90.00°, β = 90.00°, γ = 90.00°
Element x y z (fractional)
1 K 0.000 0.000 0.000
2 Zn 0.500 0.500 0.000
3 Ru 0.000 0.500 0.500
4 Ru 0.500 0.000 0.500

---

## LiSi2Cl (PBE)

Data for a relaxed LiSi2Cl crystal.

Calculated values
final energy = -4.319 eV per atom
E above lowest polymorph = 5.3 meV/atom
uncorrected formation energy = -0.6670 eV/atom
magnetic moment = 0.00 Bohr magnetons per cell

a = 3.835 Å, b = 3.835 Å, c = 13.262 Å
α = 98.15°, β = 98.15°, γ = 60.00°
Element x y z (fractional)
1 Li 0.000 0.000 0.000
2 Li 0.577 0.577 0.745
3 Si 0.143 0.143 0.439
4 Si 0.377 0.377 0.133
5 Si 0.731 0.731 0.198
6 Si 0.791 0.791 0.381
7 Cl 0.198 0.198 0.607
8 Cl 0.935 0.935 0.822

---

## LiAc2ZrSe5 (PBE)

Data for a relaxed LiAc2ZrSe5 crystal.

Calculated values
final energy = -5.701 eV per atom
uncorrected formation energy = -1.6895 eV/atom
magnetic moment = 0.00 Bohr magnetons per cell

a = 9.145 Å, b = 9.145 Å, c = 12.400 Å
α = 90.00°, β = 90.00°, γ = 153.16°
Element x y z (fractional)
1 Li 0.056 0.944 0.500
2 Li 0.944 0.056 0.000
3 Ac 0.371 0.629 0.355
4 Ac 0.387 0.613 0.742
5 Ac 0.613 0.387 0.242
6 Ac 0.629 0.371 0.855
7 Zr 0.306 0.694 0.061
8 Zr 0.694 0.306 0.561
9 Se 0.004 0.996 0.821
10 Se 0.148 0.852 0.052
11 Se 0.191 0.809 0.410
12 Se 0.211 0.789 0.708
13 Se 0.449 0.551 0.099
14 Se 0.551 0.449 0.599
15 Se 0.789 0.211 0.208
16 Se 0.809 0.191 0.910
17 Se 0.852 0.148 0.552
18 Se 0.996 0.004 0.321

---

Question: Among the records above, which one has the highest final energy?
Answer: KZnRu2